Ba4Sr3Pd2 (PBE, optimized geometry); ΔE_f = -0.2364 eV per atom
1.0
10.7085 -2.2480 0.0000
10.7085 2.2480 0.0000
-4.5732 0.0000 9.5414
Ba Sr Pd
4 3 2
direct
0.0734 0.0734 0.4310
0.2926 0.2926 0.7071
0.7074 0.7074 0.2929
0.9266 0.9266 0.5690
0.0000 0.0000 0.0000
0.3579 0.3579 0.1725
0.6421 0.6421 0.8275
0.3202 0.3202 0.4206
0.6798 0.6798 0.5794